Entry 1:
Material: KIrRu2
Method: DFT, meta-GGA SCAN
State: single point on PBEsol structure

volume = 16.9 Å³ per atom
space-group type = Immm
M_tot = 0.00 μB/f.u.
E_form = 0.941 eV/atom
energy = -145.315 eV per formula unit

a b c (Å): 5.8205 5.8205 5.8205
angles (deg): 153.45 129.48 57.97
With the nearest neighbours (Å) after each atom.
Sites, in units of the cell vectors:
1 K 0.0000 0.0000 0.0000  2 K 2.67, 4 Ir 2.82
2 Ir 0.5000 0.5000 0.0000  4 Ru 2.56, 2 Ir 2.67, 4 K 2.82
3 Ru 0.2857 0.7857 0.5000  2 Ir 2.56, 2 Ru 2.67
4 Ru 0.7143 0.2143 0.5000  2 Ir 2.56, 2 Ru 2.67



Entry 2:
Material: KIrRu2
Method: DFT, meta-GGA SCAN
State: single point on PBEsol structure

volume = 16.1 Å³ per atom
space-group type = Cmm2
M_tot = 1.60 μB/f.u.
E_form = 0.785 eV/atom
energy = -145.941 eV per formula unit

a b c (Å): 2.6923 2.6923 10.0542
angles (deg): 90.00 90.00 118.18
With the nearest neighbours (Å) after each atom.
Sites, in units of the cell vectors:
1 K 0.0000 0.0000 0.0000  6 K 2.69-2.77
2 Ir 0.5000 0.5000 0.7241  2 Ru 2.65, 6 Ir 2.69-2.77
3 Ru 0.0000 0.0000 0.4990  8 Ru 2.55-2.77, 2 Ir 2.65
4 Ru 0.5000 0.5000 0.2858  8 Ru 2.55-2.77



Entry 3:
Material: K2IrRu
Method: DFT, meta-GGA SCAN
State: single point on PBEsol structure

volume = 18.5 Å³ per atom
space-group type = R-3m
M_tot = 0.80 μB/f.u.
E_form = 0.998 eV/atom
energy = -118.593 eV per formula unit

a b c (Å): 11.2744 11.2744 11.2744
angles (deg): 14.11 14.11 14.11
With the nearest neighbours (Å) after each atom.
Sites, in units of the cell vectors:
1 K 0.2487 0.2487 0.2487  6 K 2.77
2 K 0.7513 0.7513 0.7513  6 K 2.77
3 Ir 0.5000 0.5000 0.5000  6 Ir 2.77
4 Ru 0.0000 0.0000 0.0000  6 Ru 2.77



Entry 4:
Material: KIrRu2
Method: DFT, meta-GGA SCAN
State: single point on PBEsol structure

volume = 15.7 Å³ per atom
space-group type = I-4m2
M_tot = 0.00 μB/f.u.
E_form = 1.417 eV/atom
energy = -143.412 eV per formula unit

a b c (Å): 4.5876 4.5876 4.5876
angles (deg): 124.80 124.80 81.87
With the nearest neighbours (Å) after each atom.
Sites, in units of the cell vectors:
1 K 0.0000 0.0000 0.0000  8 Ru 2.74-3.01, 4 Ir 2.74
2 Ir 0.2500 0.7500 0.5000  4 K 2.74, 8 Ru 2.74-3.01
3 Ru 0.5000 0.5000 0.0000  4 Ru 2.74, 4 Ir 2.74, 4 K 3.01
4 Ru 0.7500 0.2500 0.5000  4 K 2.74, 4 Ru 2.74, 4 Ir 3.01



Entry 5:
Material: KIr2S
Method: DFT, meta-GGA SCAN
State: single point on PBEsol structure

volume = 23.6 Å³ per atom
space-group type = I4_1/amd
M_tot = 0.00 μB/f.u.
energy relative to the elements, uncorrected = 52 kJ/mol of formula units
energy = -159.615 eV per formula unit

a b c (Å): 8.4220 8.4220 8.4220
angles (deg): 145.68 145.68 49.32
With the nearest neighbours (Å) after each atom.
Sites, in units of the cell vectors:
1 K 0.3750 0.6250 0.7500  8 Ir 3.37, 4 S 3.51
2 K 0.6250 0.3750 0.2500  8 Ir 3.37, 4 S 3.51
3 Ir 0.0000 0.0000 0.0000  2 S 2.28, 2 Ir 2.48
4 Ir 0.0000 0.0000 0.5000  2 S 2.28, 2 Ir 2.48
5 Ir 0.0000 0.5000 0.0000  2 S 2.28, 2 Ir 2.48
6 Ir 0.5000 0.0000 0.5000  2 S 2.28, 2 Ir 2.48
7 S 0.1250 0.8750 0.2500  4 Ir 2.28
8 S 0.8750 0.1250 0.7500  4 Ir 2.28



Entry 6:
Material: K3IrS
Method: DFT, meta-GGA SCAN
State: single point on PBEsol structure

volume = 39.2 Å³ per atom
space-group type = Pm-3m
M_tot = 2.01 μB/f.u.
energy relative to the elements, uncorrected = 254 kJ/mol of formula units
energy = -103.076 eV per formula unit

a b c (Å): 5.8090 5.8090 5.8090
angles (deg): 90.00 90.00 90.00
With the nearest neighbours (Å) after each atom.
Sites, in units of the cell vectors:
1 K 0.0000 0.0000 0.5000  2 Ir 2.90
2 K 0.0000 0.5000 0.0000  2 Ir 2.90
3 K 0.5000 0.0000 0.0000  2 Ir 2.90
4 Ir 0.0000 0.0000 0.0000  6 K 2.90
5 S 0.5000 0.5000 0.5000  12 K 4.11



Entry 7:
Material: KIrS2
Method: DFT, meta-GGA SCAN
State: single point on PBEsol structure

volume = 16.5 Å³ per atom
space-group type = Fm-3m
M_tot = 0.00 μB/f.u.
energy relative to the elements, uncorrected = 144 kJ/mol of formula units
energy = -97.190 eV per formula unit

a b c (Å): 4.5375 4.5375 4.5375
angles (deg): 60.00 60.00 60.00
With the nearest neighbours (Å) after each atom.
Sites, in units of the cell vectors:
1 K 0.0000 0.0000 0.0000  8 S 2.78
2 Ir 0.5000 0.5000 0.5000  8 S 2.78
3 S 0.2500 0.2500 0.2500  4 Ir 2.78, 4 K 2.78
4 S 0.7500 0.7500 0.7500  4 Ir 2.78, 4 K 2.78



Entry 8:
Material: KSbIr
Method: DFT, meta-GGA SCAN
State: single point on PBEsol structure

volume = 24.6 Å³ per atom
space-group type = I4mm
M_tot = 0.00 μB/f.u.
energy relative to the elements, uncorrected = -17 kJ/mol of formula units
energy = -116.867 eV per formula unit

a b c (Å): 6.7056 6.7056 6.7056
angles (deg): 150.32 150.32 42.48
With the nearest neighbours (Å) after each atom.
Sites, in units of the cell vectors:
1 K 0.0000 0.0000 0.0000  4 K 3.44, 5 Ir 3.48-3.76, 5 Sb 3.55-3.63
2 Sb 0.7163 0.7163 0.0000  4 Ir 2.65
3 Ir 0.3007 0.3007 0.0000  4 Sb 2.65



Entry 9:
Material: K2SbIr
Method: DFT, meta-GGA SCAN
State: single point on PBEsol structure

volume = 23.4 Å³ per atom
space-group type = F-43m
M_tot = 0.00 μB/f.u.
energy relative to the elements, uncorrected = 161 kJ/mol of formula units
energy = -123.347 eV per formula unit

a b c (Å): 5.0988 5.0988 5.0988
angles (deg): 60.00 60.00 60.00
With the nearest neighbours (Å) after each atom.
Sites, in units of the cell vectors:
1 K 0.0000 0.0000 0.0000  4 Ir 3.12, 4 K 3.12
2 K 0.2500 0.2500 0.2500  4 Sb 3.12, 4 K 3.12
3 Sb 0.5000 0.5000 0.5000  4 K 3.12, 4 Ir 3.12
4 Ir 0.7500 0.7500 0.7500  4 Sb 3.12, 4 K 3.12



Entry 10:
Material: KSb2Ir
Method: DFT, meta-GGA SCAN
State: single point on PBEsol structure

volume = 25.3 Å³ per atom
space-group type = Immm
M_tot = 0.00 μB/f.u.
energy relative to the elements, uncorrected = -43 kJ/mol of formula units
energy = -154.391 eV per formula unit

a b c (Å): 6.3854 6.3854 6.3854
angles (deg): 151.71 124.21 63.72
With the nearest neighbours (Å) after each atom.
Sites, in units of the cell vectors:
1 K 0.0000 0.0000 0.0000  2 K 3.12, 4 Ir 3.37
2 Sb 0.3051 0.8051 0.5000  2 Ir 2.63
3 Sb 0.6949 0.1949 0.5000  2 Ir 2.63
4 Ir 0.5000 0.5000 0.0000  4 Sb 2.63



Entry 11:
Material: KSb2Ir
Method: DFT, meta-GGA SCAN
State: single point on PBEsol structure

volume = 27.4 Å³ per atom
space-group type = R-3m
M_tot = 0.00 μB/f.u.
energy relative to the elements, uncorrected = -153 kJ/mol of formula units
energy = -155.530 eV per formula unit

a b c (Å): 7.4982 7.4982 7.4982
angles (deg): 32.74 32.74 32.74
With the nearest neighbours (Å) after each atom.
Sites, in units of the cell vectors:
1 K 0.0000 0.0000 0.0000  6 Sb 3.47
2 Sb 0.2174 0.2174 0.2174  3 Ir 2.67
3 Sb 0.7826 0.7826 0.7826  3 Ir 2.67
4 Ir 0.5000 0.5000 0.5000  6 Sb 2.67



Entry 12:
Material: K2ScIr2
Method: DFT, meta-GGA SCAN
State: single point on PBEsol structure

volume = 22.6 Å³ per atom
space-group type = I4/mmm
M_tot = 0.00 μB/f.u.
E_form = 1.430 eV/atom
energy = -165.943 eV per formula unit

a b c (Å): 5.7110 5.7110 5.7110
angles (deg): 127.72 127.72 77.08
With the nearest neighbours (Å) after each atom.
Sites, in units of the cell vectors:
1 K 0.1371 0.1371 0.0000  1 K 2.45, 4 Ir 2.71
2 K 0.8629 0.8629 0.0000  1 K 2.45, 4 Ir 2.71
3 Sc 0.5000 0.5000 0.0000  2 K 3.24, 8 Ir 3.36
4 Ir 0.2500 0.7500 0.5000  4 K 2.71
5 Ir 0.7500 0.2500 0.5000  4 K 2.71



Entry 13:
Material: KScTa2Ir
Method: DFT, meta-GGA SCAN
State: single point on PBEsol structure

volume = 18.1 Å³ per atom
space-group type = P4/mmm
M_tot = 0.00 μB/f.u.
E_form = 2.542 eV/atom
energy = -214.124 eV per formula unit

a b c (Å): 4.5618 4.5618 4.3474
angles (deg): 90.00 90.00 90.00
With the nearest neighbours (Å) after each atom.
Sites, in units of the cell vectors:
1 K 0.0000 0.0000 0.0000  2 Sc 2.17, 4 Ta 2.28
2 Sc 0.0000 0.0000 0.5000  2 K 2.17
3 Ta 0.0000 0.5000 0.0000  2 K 2.28
4 Ta 0.5000 0.0000 0.0000  2 K 2.28
5 Ir 0.5000 0.5000 0.5000  8 Ta 3.15, 4 Sc 3.23



Entry 14:
Material: KIr2Se
Method: DFT, meta-GGA SCAN
State: single point on PBEsol structure

volume = 19.5 Å³ per atom
space-group type = Imm2
M_tot = 0.00 μB/f.u.
energy relative to the elements, uncorrected = 206 kJ/mol of formula units
energy = -168.466 eV per formula unit

a b c (Å): 5.9398 5.9398 5.9398
angles (deg): 152.59 125.37 62.19
With the nearest neighbours (Å) after each atom.
Sites, in units of the cell vectors:
1 K 0.0000 0.0000 0.0000  2 K 2.81, 4 Ir 3.08
2 Ir 0.4769 0.4769 0.0000  2 Se 2.40, 2 Ir 2.58
3 Ir 0.6898 0.1898 0.5000  4 Ir 2.58-2.81
4 Se 0.2858 0.7858 0.5000  2 Ir 2.40



Entry 15:
Material: K2IrSe
Method: DFT, meta-GGA SCAN
State: single point on PBEsol structure

volume = 20.8 Å³ per atom
space-group type = I4/mmm
M_tot = 0.00 μB/f.u.
energy relative to the elements, uncorrected = 91 kJ/mol of formula units
energy = -106.893 eV per formula unit

a b c (Å): 5.7785 5.7785 5.7785
angles (deg): 138.65 138.65 59.90
With the nearest neighbours (Å) after each atom.
Sites, in units of the cell vectors:
1 K 0.2500 0.7500 0.5000  4 K 2.88, 4 Se 3.23, 4 Ir 3.23
2 K 0.7500 0.2500 0.5000  4 K 2.88, 4 Se 3.23, 4 Ir 3.23
3 Ir 0.0000 0.0000 0.0000  4 Se 2.88, 8 K 3.23
4 Se 0.5000 0.5000 0.0000  4 Ir 2.88, 8 K 3.23